The following is a GGA-PBE calculation of Tc5Rh3 after structural relaxation, from Alexandria.

Cell and atoms, written as CIF:
```
data_Tc5Rh3
_symmetry_space_group_name_H-M 'C 1 2/m 1'
_symmetry_Int_Tables_number 12
_symmetry_space_group_name_Hall '-C 2y'
_cell_length_a 4.9188
_cell_length_b 13.5535
_cell_length_c 7.5771
_cell_angle_alpha 90.00
_cell_angle_beta 110.15
_cell_angle_gamma 90.00
loop_
_atom_site_label
_atom_site_type_symbol
_atom_site_fract_x
_atom_site_fract_y
_atom_site_fract_z
Tc1 Tc 0.0889 0.1737 0.1869
Tc2 Tc 0.2215 0.0000 0.9643
Tc3 Tc 0.2467 0.0944 0.6564
Rh1 Rh 0.0000 0.2708 0.5000
Rh2 Rh 0.0000 0.3342 0.0000
Rh3 Rh 0.2400 0.5000 0.6514
```

Values from the calculation:
Size of the total moment   0.00 Bohr magnetons per cell
Crystal system   monoclinic
Relative energy among the computed polymorphs   0.167 eV/atom
Total DFT energy (no corrections)   -291.9 eV per cell
Calculated formation energy   0.11 eV/atom

The following is a GGA-PBE calculation of TbDyYTm2 after structural relaxation, from Alexandria.

Cell and atoms, written as CIF:
```
data_TbDyYTm2
_symmetry_space_group_name_H-M 'C m c m'
_symmetry_Int_Tables_number 63
_symmetry_space_group_name_Hall '-C 2c 2'
_cell_length_a 8.2897
_cell_length_b 11.3701
_cell_length_c 7.1591
_cell_angle_alpha 90.00
_cell_angle_beta 90.00
_cell_angle_gamma 90.00
loop_
_atom_site_label
_atom_site_type_symbol
_atom_site_fract_x
_atom_site_fract_y
_atom_site_fract_z
Tb1 Tb 0.0000 0.2177 0.2500
Dy1 Dy 0.0000 0.4892 0.2500
Y1 Y 0.0000 0.2289 0.7500
Tm1 Tm 0.1894 0.0000 0.0000
```

Values from the calculation:
Size of the total moment   0.00 Bohr magnetons per cell
Crystal system   orthorhombic
Total DFT energy (no corrections)   -90.6 eV per cell
Calculated formation energy   0.40 eV/atom

The following is a GGA-PBE calculation of Cu3Ag2Cl8 after structural relaxation, from Alexandria.

Cell and atoms, written as CIF:
```
data_Cu3Ag2Cl8
_symmetry_space_group_name_H-M 'C 1 2/m 1'
_symmetry_Int_Tables_number 12
_symmetry_space_group_name_Hall '-C 2y'
_cell_length_a 13.7867
_cell_length_b 6.9485
_cell_length_c 7.5328
_cell_angle_alpha 90.00
_cell_angle_beta 120.79
_cell_angle_gamma 90.00
loop_
_atom_site_label
_atom_site_type_symbol
_atom_site_fract_x
_atom_site_fract_y
_atom_site_fract_z
Cu1 Cu 0.0000 0.0000 0.0000
Cu2 Cu 0.0000 0.2467 0.5000
Ag1 Ag 0.1462 0.5000 0.2121
Cl1 Cl 0.1069 0.2237 0.9644
Cl2 Cl 0.1198 0.5000 0.5245
Cl3 Cl 0.1208 0.0000 0.5220
```

Values from the calculation:
Size of the total moment   4.32 Bohr magnetons per cell
Crystal system   monoclinic
Relative energy among the computed polymorphs   0.013 eV/atom
Total DFT energy (no corrections)   -77.2 eV per cell
Formation energy without anion corrections   -451 meV/atom

The following is a GGA-PBE calculation of Tb12Sm3Cd after structural relaxation, from Alexandria.

Cell and atoms, written as CIF:
```
data_Tb12Sm3Cd
_symmetry_space_group_name_H-M 'P 4/m m m'
_symmetry_Int_Tables_number 123
_symmetry_space_group_name_Hall '-P 4 2'
_cell_length_a 4.9997
_cell_length_b 4.9997
_cell_length_c 20.1820
_cell_angle_alpha 90.00
_cell_angle_beta 90.00
_cell_angle_gamma 90.00
loop_
_atom_site_label
_atom_site_type_symbol
_atom_site_fract_x
_atom_site_fract_y
_atom_site_fract_z
Tb1 Tb 0.0000 0.0000 0.0000
Tb2 Tb 0.0000 0.0000 0.2436
Tb3 Tb 0.0000 0.0000 0.5000
Tb4 Tb 0.0000 0.5000 0.1205
Tb5 Tb 0.0000 0.5000 0.3731
Sm1 Sm 0.5000 0.5000 0.2472
Sm2 Sm 0.5000 0.5000 0.5000
Cd1 Cd 0.5000 0.5000 0.0000
```

Values from the calculation:
Size of the total moment   0.00 Bohr magnetons per cell
Crystal system   tetragonal
Total DFT energy (no corrections)   -70.7 eV per cell
Calculated formation energy   0.00 eV/atom